# SrTaRh2

A relaxed structure of SrTaRh2 (PBE-GGA, the Alexandria database).

Structure (POSCAR):
```
SrTaRh2
1.0
2.157 1.245 5.666
-2.157 1.245 5.666
0.000 -2.490 5.666
Sr Ta Rh
1 1 2
direct
0.000 0.000 0.000 Sr
0.500 0.500 0.500 Ta
0.209 0.209 0.209 Rh
0.791 0.791 0.791 Rh
```

As for the space-group type: R-3m.

# SrTaRh

A relaxed structure of SrTaRh (PBE-GGA, the Alexandria database).

Structure (POSCAR):
```
SrTaRh
1.0
0.000 3.324 3.324
3.324 0.000 3.324
3.324 3.324 0.000
Sr Ta Rh
1 1 1
direct
0.000 0.000 0.000 Sr
0.500 0.500 0.500 Ta
0.750 0.750 0.750 Rh
```

As for the space-group type: F-43m.

# SrTaRh2

A relaxed structure of SrTaRh2 (PBE-GGA, the Alexandria database).

Structure (POSCAR):
```
SrTaRh2
1.0
3.306 0.000 0.000
0.000 3.818 0.000
0.000 0.000 6.929
Sr Ta Rh
1 1 2
direct
0.000 0.000 0.000 Sr
0.500 0.500 0.397 Ta
0.000 0.000 0.495 Rh
0.500 0.500 0.736 Rh
```

As for the space-group type: Pmm2.

# SrTa2Rh

A relaxed structure of SrTa2Rh (PBE-GGA, the Alexandria database).

Structure (POSCAR):
```
SrTa2Rh
1.0
-2.561 2.561 8.897
2.561 -2.561 8.897
2.561 2.561 -8.897
Sr Ta Rh
2 4 2
direct
0.375 0.625 0.750 Sr
0.625 0.375 0.250 Sr
0.000 0.000 0.000 Ta
0.000 0.000 0.500 Ta
0.000 0.500 0.000 Ta
0.500 0.000 0.500 Ta
0.125 0.875 0.250 Rh
0.875 0.125 0.750 Rh
```

As for the space-group type: I4_1/amd.

VASP energy for the records above, in order: -7.266; -6.312; -7.013; -7.268 eV/atom
Energy of formation for the records above, in order: -19.95; 62.70; 4.52; 88.45 kJ per mole of atoms
Size of the total moment for the records above, in order: 0.00; 0.92; 0.00; 0.00 μB/f.u.